# Al2Sn, optimized geometry, DFT PBE-GGA
data_Al2Sn
_chemical_formula_sum 'Al4 Sn2'
_symmetry_space_group_name_H-M 'I 4/m m m'
_symmetry_Int_Tables_number 139
_symmetry_space_group_name_Hall '-I 4 2'
_cell_length_a 3.496
_cell_length_b 3.496
_cell_length_c 10.178
_cell_angle_alpha 90.00
_cell_angle_beta 90.00
_cell_angle_gamma 90.00
loop_
_atom_site_label
_atom_site_fract_x
_atom_site_fract_y
_atom_site_fract_z
_atom_site_occupancy
Al1 0.000 0.000 0.182 1
Sn1 0.000 0.000 0.500 1
# total moment: 0.0 Bohr magnetons per cell
# ρ: 4.610 g/cm3
# calculated formation energy: 0.175 eV per atom